TlAg2Cl4: relaxed, PBE.

The structure belongs to space group Fdd2 (No. 43); the cell edges are 12.683, 14.404 and 8.745 Å and the angles 90.00°, 90.00° and 90.00°. The asymmetric unit holds Tl at (0.000, 0.000, 0.000), Ag at (0.125, 0.125, 0.625), Cl at (0.075, 0.389, 0.161) and Cl at (0.076, 0.111, 0.341).

The calculation puts the electronic total energy at -2.76 eV/atom. The calculation puts the energy relative to the lowest polymorph listed for this composition at 0 meV per atom. As for the formation energy (no corrections): -3.90 eV per formula unit.